# PrDy8In2, relaxed, DFT PBE-GGA
# * symmetry: No. 12
# * energy of formation: -54.0 kJ/mol of formula units
# * Fermi-level density of states: 13.64 states/eV/cell
# * M_tot: 0.0 μB per formula unit
# * total energy: -4.3303 eV per atom
data_PrDy8In2
_chemical_formula_sum 'Pr1 Dy8 In2'
_cell_length_a 6.4919
_cell_length_b 8.6312
_cell_length_c 8.6312
_cell_angle_alpha 45.93
_cell_angle_beta 98.50
_cell_angle_gamma 98.50
_symmetry_space_group_name_H-M 'P 1'
_symmetry_Int_Tables_number 1
loop_
_symmetry_equiv_pos_as_xyz
'x,y,z'
loop_
_atom_site_label
_atom_site_type_symbol
_atom_site_fract_x
_atom_site_fract_y
_atom_site_fract_z
_atom_site_occupancy
In1 In 0.6889 0.7524 0.7524 1
Dy1 Dy 0.8973 0.5851 0.5851 1
Pr1 Pr 0.0000 0.0000 0.0000 1
Dy2 Dy 0.5843 0.1621 0.6414 1
Dy3 Dy 0.4157 0.8379 0.3586 1
Dy4 Dy 0.5843 0.6414 0.1621 1
Dy5 Dy 0.4157 0.3586 0.8379 1
Dy6 Dy 0.8191 0.2167 0.2167 1
Dy7 Dy 0.1027 0.4149 0.4149 1
In2 In 0.3111 0.2476 0.2476 1
Dy8 Dy 0.1809 0.7833 0.7833 1